(1)
DFT (PBE-GGA) results for crystalline VBi3B at its relaxed geometry.

The structure in POSCAR format:
```
VBi3B
1.0
5.025 0.000 0.000
0.000 5.025 0.000
0.000 0.000 5.025
Bi V B
3 1 1
Cartesian
0.000 0.000 2.513
0.000 2.513 0.000
2.513 0.000 0.000
2.513 2.513 2.513
0.000 0.000 0.000
```

Calculated values
- Excess energy over the best structure of this formula in the dataset: 0.000 eV/atom
- Energy relative to the elements: 1.05 eV/atom
- Mass density: 9.01 g/cm3

=====

(2)
DFT (PBE-GGA) results for crystalline ZrPAu2 at its relaxed geometry.

The structure in POSCAR format:
```
ZrPAu2
1.0
-4.520 0.813 4.325
-6.242 0.426 0.808
-4.970 -2.759 2.737
Au P Zr
2 1 1
Cartesian
-12.050 -1.165 6.028
-0.020 -0.002 0.010
-7.795 -0.753 3.899
-3.733 -0.361 1.868
```

Calculated values
- Energy relative to the elements: -0.38 eV/atom
- Mass density: 10.86 g/cm3

=====

(3)
DFT (PBE-GGA) results for crystalline In3CuRu at its relaxed geometry.

The structure in POSCAR format:
```
In3CuRu
1.0
-4.712 0.336 -1.988
-1.049 -4.725 1.687
-1.722 1.958 4.413
Cu In Ru
1 3 1
Cartesian
-3.741 -1.216 2.056
-0.861 0.979 2.206
-0.524 -2.362 0.843
-2.356 0.168 -0.994
0.000 0.000 0.000
```

Calculated values
- Excess energy over the best structure of this formula in the dataset: 0.000 eV/atom
- Energy relative to the elements: 0.44 eV/atom
- Mass density: 6.28 g/cm3

=====

(4)
DFT (PBE-GGA) results for crystalline BaSrMg10 at its relaxed geometry.

The structure in POSCAR format:
```
BaSrMg10
1.0
5.108 0.000 0.000
0.000 6.192 0.000
0.000 0.000 10.849
Mg Ba Sr
10 1 1
Cartesian
0.000 3.096 1.858
0.000 0.000 3.649
0.000 0.000 7.200
2.554 3.096 0.000
2.554 0.000 5.425
2.554 4.637 2.746
2.554 4.637 8.103
2.554 1.556 8.103
2.554 1.556 2.746
0.000 3.096 8.991
0.000 0.000 0.000
0.000 3.096 5.425
```

Calculated values
- Energy relative to the elements: -0.05 eV/atom
- Mass density: 2.26 g/cm3

=====

(5)
DFT (PBE-GGA) results for crystalline CdNiMoAs2 at its relaxed geometry.

The structure in POSCAR format:
```
CdNiMoAs2
1.0
-4.358 1.578 1.846
-1.781 -4.932 0.010
1.739 -0.618 4.635
As Cd Ni Mo
2 1 1 1
Cartesian
0.870 -0.309 2.317
-2.179 0.789 0.923
0.000 0.000 0.000
-2.200 -1.986 3.246
-0.890 -2.466 0.005
```

Calculated values
- Energy relative to the elements: 1.87 eV/atom
- Mass density: 5.30 g/cm3

=====

(6)
DFT (PBE-GGA) results for crystalline Mg2BeTe at its relaxed geometry.

The structure in POSCAR format:
```
Mg2BeTe
1.0
4.886 0.011 -0.008
3.537 3.371 -0.008
2.235 0.897 5.515
Mg Te Be
2 1 1
Cartesian
8.072 3.241 4.366
8.215 3.299 0.584
5.941 2.386 2.452
2.181 0.876 0.831
```

Calculated values
- Excess energy over the best structure of this formula in the dataset: 0.061 eV/atom
- Mass density: 3.39 g/cm3
- Uncorrected formation energy: 74 meV per atom

=====

(7)
DFT (PBE-GGA) results for crystalline Th8As3PtSe4 at its relaxed geometry.

The structure in POSCAR format:
```
Th8As3PtSe4
1.0
8.497 0.000 0.000
0.000 8.446 -0.042
-4.249 -4.244 6.011
Th As Se Pt
8 3 4 1
Cartesian
4.249 0.021 3.055
6.399 2.170 0.012
4.249 4.183 2.953
0.000 0.019 3.016
2.151 2.032 5.957
0.000 4.181 2.914
2.098 2.170 0.012
-2.151 2.032 5.957
2.124 2.101 2.985
-2.124 2.101 2.985
4.249 4.223 -0.021
0.000 0.000 0.000
-2.124 -2.122 3.006
4.249 0.000 0.000
2.124 -2.122 3.006
0.000 4.223 -0.021
```

Calculated values
- Mass density: 10.01 g/cm3
- Uncorrected formation energy: -1460 meV per atom

=====

(8)
DFT (PBE-GGA) results for crystalline Zr2NbAg2 at its relaxed geometry.

The structure in POSCAR format:
```
Zr2NbAg2
1.0
-1.613 2.793 -0.235
-3.179 -1.765 0.846
-0.201 0.622 8.783
Nb Ag Zr
1 2 2
Cartesian
0.000 0.000 0.000
-0.733 0.046 5.582
-2.647 -1.189 4.047
-2.126 0.807 1.935
-2.868 0.843 7.460
```

Calculated values
- Excess energy over the best structure of this formula in the dataset: 0.000 eV/atom
- Energy relative to the elements: 0.05 eV/atom
- Mass density: 7.85 g/cm3

=====

(9)
DFT (PBE-GGA) results for crystalline Sc2WAu at its relaxed geometry.

The structure in POSCAR format:
```
Sc2WAu
1.0
1.754 0.000 10.108
-0.877 1.519 10.108
-0.877 -1.519 10.108
W Sc Au
1 2 1
Cartesian
0.000 0.000 15.162
0.000 0.000 2.781
0.000 0.000 27.544
0.000 0.000 0.000
```

Calculated values
- Excess energy over the best structure of this formula in the dataset: 0.460 eV/atom
- Energy relative to the elements: 0.27 eV/atom
- Mass density: 9.67 g/cm3

=====

(10)
DFT (PBE-GGA) results for crystalline Cs3Li2HoBr8 at its relaxed geometry.

The structure in POSCAR format:
```
Cs3Li2HoBr8
1.0
-7.480 2.311 -0.872
2.775 -1.738 7.164
2.861 9.735 1.253
Ho Br Cs Li
1 8 3 2
Cartesian
1.431 4.868 0.627
2.058 2.220 6.268
-3.902 8.088 1.277
-4.019 1.106 1.825
-2.494 7.206 4.910
2.175 9.202 5.720
-0.109 6.916 1.720
-1.735 3.392 5.825
0.651 3.101 2.635
-3.063 4.359 2.244
1.219 5.948 5.301
0.000 0.000 0.000
-0.024 1.718 4.757
-1.819 8.590 2.789
```

Calculated values
- Mass density: 3.68 g/cm3
- Uncorrected formation energy: -1732 meV per atom

=====

(11)
DFT (PBE-GGA) results for crystalline CsSrCeCl6 at its relaxed geometry.

The structure in POSCAR format:
```
CsSrCeCl6
1.0
10.513 0.000 0.000
0.000 10.122 0.000
-5.256 -5.061 7.413
Cl Cs Sr Ce
12 2 2 2
Cartesian
3.095 5.564 1.906
7.418 5.564 1.906
7.418 -0.503 1.906
-2.161 5.564 5.507
2.161 5.564 5.507
0.000 7.591 2.780
2.161 -0.503 5.507
5.256 -2.530 4.632
5.256 2.530 1.314
-2.161 -0.503 5.507
0.000 2.530 6.098
3.095 -0.503 1.906
0.000 2.530 2.703
5.256 2.530 4.710
5.256 5.061 0.000
5.256 0.000 0.000
2.628 -2.530 3.706
-2.628 -2.530 3.706
```

Calculated values
- Mass density: 2.41 g/cm3
- Uncorrected formation energy: -2219 meV per atom

=====

(12)
DFT (PBE-GGA) results for crystalline As3Rh at its relaxed geometry.

The structure in POSCAR format:
```
As3Rh
1.0
-2.509 1.092 1.160
-0.678 -2.691 1.065
3.972 1.750 6.948
As Rh
3 1
Cartesian
0.207 0.091 0.362
1.779 0.784 3.112
1.385 0.513 6.323
-0.601 -0.362 2.849
```

Calculated values
- Excess energy over the best structure of this formula in the dataset: 0.480 eV/atom
- Energy relative to the elements: 0.04 eV/atom
- Mass density: 7.52 g/cm3

=====

(13)
DFT (PBE-GGA) results for crystalline Sc2HIrRh at its relaxed geometry.

The structure in POSCAR format:
```
Sc2HIrRh
1.0
-0.516 1.103 4.317
1.632 -3.997 1.216
3.267 1.348 0.046
H Sc Rh Ir
1 2 1 1
Cartesian
0.000 0.000 0.000
0.816 -1.999 0.608
-0.258 0.551 2.159
2.192 -0.773 2.790
1.634 0.674 0.023
```

Calculated values
- Excess energy over the best structure of this formula in the dataset: 0.027 eV/atom
- Mass density: 9.01 g/cm3

=====

(14)
DFT (PBE-GGA) results for crystalline Pm5Sm4Sc2 at its relaxed geometry.

The structure in POSCAR format:
```
Pm5Sm4Sc2
1.0
3.423 0.000 -0.835
-0.399 8.481 -1.637
1.092 1.398 11.911
Pm Sm Sc
5 4 2
Cartesian
0.826 4.554 3.387
3.404 9.182 6.523
3.290 5.325 6.052
1.711 0.000 -0.418
0.711 0.697 2.916
0.074 3.069 0.305
4.041 6.811 9.134
1.468 2.254 6.019
2.648 7.626 3.420
2.195 3.732 8.997
1.921 6.147 0.442
```

Calculated values
- Excess energy over the best structure of this formula in the dataset: 0.000 eV/atom
- Energy relative to the elements: 0.11 eV/atom
- Mass density: 6.50 g/cm3

=====

(15)
DFT (PBE-GGA) results for crystalline TbHo2Tm8 at its relaxed geometry.

The structure in POSCAR format:
```
TbHo2Tm8
1.0
-2.086 2.487 4.317
-6.495 -4.589 -0.494
7.686 -4.262 2.792
Tm Ho Tb
8 2 1
Cartesian
-4.589 -3.243 -0.349
3.694 -3.121 6.963
-1.994 -1.575 3.323
1.098 -4.789 3.290
1.098 -1.720 1.522
-4.697 -3.487 3.118
-1.994 -4.644 5.092
3.802 -2.877 3.496
0.991 -1.940 4.976
-1.886 -4.424 1.638
-1.043 1.244 2.158
```

Calculated values
- Excess energy over the best structure of this formula in the dataset: 0.095 eV/atom
- Energy relative to the elements: 0.12 eV/atom
- Mass density: 9.03 g/cm3

=====

(16)
DFT (PBE-GGA) results for crystalline Ce2HoCd4 at its relaxed geometry.

The structure in POSCAR format:
```
Ce2HoCd4
1.0
4.989 0.000 -1.590
-0.507 4.963 -1.590
-0.119 -0.132 8.247
Cd Ho Ce
4 1 2
Cartesian
2.956 0.512 0.654
1.407 4.320 4.412
0.208 2.993 0.654
4.154 1.838 4.412
0.000 0.000 0.000
1.092 1.209 3.426
3.271 3.622 1.640
```

Calculated values
- Energy relative to the elements: -0.05 eV/atom
- Mass density: 7.35 g/cm3

=====

(17)
DFT (PBE-GGA) results for crystalline AcSn2Mo at its relaxed geometry.

The structure in POSCAR format:
```
AcSn2Mo
1.0
-0.564 2.969 1.599
-2.945 0.516 1.659
3.269 -2.921 10.233
Sn Mo Ac
2 1 1
Cartesian
1.884 -1.647 7.378
-2.124 2.211 6.113
-0.120 0.282 6.746
0.000 0.000 0.000
```

Calculated values
- Energy relative to the elements: 0.42 eV/atom
- Mass density: 8.39 g/cm3

=====

(18)
DFT (PBE-GGA) results for crystalline NdSmCdHg at its relaxed geometry.

The structure in POSCAR format:
```
NdSmCdHg
1.0
5.408 0.000 0.000
2.704 4.684 0.000
2.704 1.561 4.416
Hg Nd Cd Sm
1 1 1 1
Cartesian
2.704 1.561 1.104
0.000 0.000 0.000
8.112 4.684 3.312
5.408 3.122 2.208
```

Calculated values
- Excess energy over the best structure of this formula in the dataset: 0.002 eV/atom
- Energy relative to the elements: -0.39 eV/atom
- Mass density: 9.02 g/cm3

=====

no.,E_tot (eV/atom)
1,-4.44
2,-5.51
3,-3.88
4,-1.68
5,-3.49
6,-2.44
7,-7.29
8,-6.53
9,-6.96
10,-3.47
11,-4.39
12,-5.29
13,-7.25
14,-4.92
15,-4.39
16,-2.93
17,-5.32
18,-3.07